VASP calculation (PBE-GGA) on crystalline Tl2AgH6Pt at its relaxed geometry.

Its volume is 13.26 Å³/atom.

It has space group I4/mmm (No. 139), with a = 5.3081 Å, b = 5.3081 Å, c = 9.4148 Å, α = 90.00°, β = 90.00° and γ = 90.00°. The inequivalent atoms are Tl at (0.0000, 0.5000, 0.2500), Ag at (0.0000, 0.0000, 0.0000), H at (0.0000, 0.0000, 0.3226), H at (0.2284, 0.2284, 0.5000) and Pt at (0.0000, 0.0000, 0.5000).

VASP calculation (PBE-GGA) on crystalline TlAg2HPt at its relaxed geometry.

Its volume is 16.08 Å³/atom.

It has space group P4/mmm (No. 123), with a = 4.7296 Å, b = 4.7296 Å, c = 3.5945 Å, α = 90.00°, β = 90.00° and γ = 90.00°. The inequivalent atoms are Tl at (0.0000, 0.0000, 0.0000), Ag at (0.0000, 0.5000, 0.5000), H at (0.5000, 0.5000, 0.5000) and Pt at (0.5000, 0.5000, 0.0000).

VASP calculation (PBE-GGA) on crystalline ZnAgHPt2 at its relaxed geometry.

Its volume is 13.13 Å³/atom.

It has space group P4/mmm (No. 123), with a = 3.9908 Å, b = 3.9908 Å, c = 4.1213 Å, α = 90.00°, β = 90.00° and γ = 90.00°. The inequivalent atoms are Zn at (0.0000, 0.0000, 0.0000), Ag at (0.5000, 0.5000, 0.0000), H at (0.0000, 0.0000, 0.5000) and Pt at (0.0000, 0.5000, 0.5000).

VASP calculation (PBE-GGA) on crystalline Zn2AgHPt at its relaxed geometry.

Its volume is 13.23 Å³/atom.

It has space group P4/mmm (No. 123), with a = 4.3627 Å, b = 4.3627 Å, c = 3.4753 Å, α = 90.00°, β = 90.00° and γ = 90.00°. The inequivalent atoms are Zn at (0.0000, 0.5000, 0.0000), Ag at (0.0000, 0.0000, 0.5000), H at (0.5000, 0.5000, 0.0000) and Pt at (0.5000, 0.5000, 0.5000).

One value per record, in order, for calculated total energy: -65.93, -16.85, -20.09, -15.14 eV/cell.